1.
Density functional theory data (PBE) for a relaxed LaCuSb2S crystal.

Calculated values
- Formation energy (no corrections): -0.31 eV/atom
- Symmetry: No. 123

The structure in CIF format:
```
data_LaCuSb2S
_space_group_name_H-M_alt 'P 1'
_space_group_IT_number 1
_space_group_name_Hall 'P 1'
_cell_length_a 5.1134
_cell_length_b 5.1134
_cell_length_c 4.7913
_cell_angle_alpha 90.00
_cell_angle_beta 90.00
_cell_angle_gamma 90.00
loop_
_atom_site_label
_atom_site_fract_x
_atom_site_fract_y
_atom_site_fract_z
La1 0.0000 0.0000 0.0000
Cu1 0.5000 0.5000 0.5000
Sb1 0.0000 0.5000 0.5000
Sb2 0.5000 0.0000 0.5000
S1 0.5000 0.5000 0.0000
```


2.
Density functional theory data (PBE) for a relaxed La2CuSbS5 crystal.

Calculated values
- Formation energy (no corrections): -1.32 eV/atom
- Symmetry: No. 46
- E above lowest polymorph: 0.000 eV per atom

The structure in CIF format:
```
data_La2CuSbS5
_space_group_name_H-M_alt 'P 1'
_space_group_IT_number 1
_space_group_name_Hall 'P 1'
_cell_length_a 8.5735
_cell_length_b 8.5735
_cell_length_c 8.5735
_cell_angle_alpha 78.26
_cell_angle_beta 127.47
_cell_angle_gamma 126.53
loop_
_atom_site_label
_atom_site_fract_x
_atom_site_fract_y
_atom_site_fract_z
La1 0.0000 0.0000 0.0000
La2 0.0000 0.5000 0.5000
La3 0.2505 0.1372 0.6133
La4 0.5239 0.6372 0.3867
Cu1 0.5360 0.0360 0.5000
Cu2 0.5360 0.5360 0.0000
Sb1 0.5423 0.9668 0.0755
Sb2 0.8914 0.4668 0.9245
S1 0.0124 0.7512 0.7611
S2 0.1742 0.4330 0.9431
S3 0.1742 0.7311 0.2412
S4 0.4899 0.2311 0.0569
S5 0.4899 0.9330 0.7588
S6 0.4938 0.2798 0.4249
S7 0.4938 0.5690 0.7140
S8 0.8549 0.0690 0.5751
S9 0.8549 0.7798 0.2860
S10 0.9901 0.2512 0.2389
```


3.
Density functional theory data (PBE) for a relaxed La2ScCu2S6 crystal.

Calculated values
- Formation energy (no corrections): -1.21 eV/atom
- Symmetry: No. 166

The structure in CIF format:
```
data_La2ScCu2S6
_space_group_name_H-M_alt 'P 1'
_space_group_IT_number 1
_space_group_name_Hall 'P 1'
_cell_length_a 7.4958
_cell_length_b 7.4958
_cell_length_c 7.4958
_cell_angle_alpha 55.20
_cell_angle_beta 55.20
_cell_angle_gamma 55.20
loop_
_atom_site_label
_atom_site_fract_x
_atom_site_fract_y
_atom_site_fract_z
La1 0.2048 0.2048 0.2048
La2 0.7952 0.7952 0.7952
Sc1 0.0000 0.0000 0.0000
Cu1 0.4244 0.4244 0.4244
Cu2 0.5756 0.5756 0.5756
S1 0.2155 0.7548 0.7548
S2 0.2452 0.2452 0.7845
S3 0.2452 0.7845 0.2452
S4 0.7548 0.2155 0.7548
S5 0.7548 0.7548 0.2155
S6 0.7845 0.2452 0.2452
```


4.
Density functional theory data (PBE) for a relaxed LaCuSeS crystal.

Calculated values
- Formation energy (no corrections): -1.30 eV/atom
- Symmetry: No. 166

The structure in CIF format:
```
data_LaCuSeS
_space_group_name_H-M_alt 'P 1'
_space_group_IT_number 1
_space_group_name_Hall 'P 1'
_cell_length_a 11.3397
_cell_length_b 11.3397
_cell_length_c 11.3397
_cell_angle_alpha 22.62
_cell_angle_beta 22.62
_cell_angle_gamma 22.62
loop_
_atom_site_label
_atom_site_fract_x
_atom_site_fract_y
_atom_site_fract_z
La1 0.1057 0.1057 0.1057
La2 0.8943 0.8943 0.8943
Cu1 0.3043 0.3043 0.3043
Cu2 0.6957 0.6957 0.6957
Se1 0.3799 0.3799 0.3799
Se2 0.6201 0.6201 0.6201
S1 0.1977 0.1977 0.1977
S2 0.8023 0.8023 0.8023
```


5.
Density functional theory data (PBE) for a relaxed La2SmCuS5 crystal.

Calculated values
- Formation energy (no corrections): -1.83 eV/atom
- Symmetry: No. 36

The structure in CIF format:
```
data_La2SmCuS5
_space_group_name_H-M_alt 'P 1'
_space_group_IT_number 1
_space_group_name_Hall 'P 1'
_cell_length_a 8.5970
_cell_length_b 8.5970
_cell_length_c 12.1372
_cell_angle_alpha 90.00
_cell_angle_beta 90.00
_cell_angle_gamma 153.15
loop_
_atom_site_label
_atom_site_fract_x
_atom_site_fract_y
_atom_site_fract_z
La1 0.1155 0.8845 0.5000
La2 0.1167 0.8833 0.1530
La3 0.8833 0.1167 0.6530
La4 0.8845 0.1155 0.0000
Sm1 0.1787 0.8213 0.8326
Sm2 0.8213 0.1787 0.3326
Cu1 0.4502 0.5498 0.2300
Cu2 0.5498 0.4502 0.7300
S1 0.0147 0.9853 0.8178
S2 0.3009 0.6991 0.4942
S3 0.3144 0.6856 0.1687
S4 0.3455 0.6545 0.8259
S5 0.4940 0.5060 0.5581
S6 0.5060 0.4940 0.0581
S7 0.6545 0.3455 0.3259
S8 0.6856 0.3144 0.6687
S9 0.6991 0.3009 0.9942
S10 0.9853 0.0147 0.3178
```


6.
Density functional theory data (PBE) for a relaxed La2CuSnS5 crystal.

Calculated values
- Formation energy (no corrections): -1.34 eV/atom
- Symmetry: No. 36

The structure in CIF format:
```
data_La2CuSnS5
_space_group_name_H-M_alt 'P 1'
_space_group_IT_number 1
_space_group_name_Hall 'P 1'
_cell_length_a 8.6423
_cell_length_b 8.6423
_cell_length_c 11.8800
_cell_angle_alpha 90.00
_cell_angle_beta 90.00
_cell_angle_gamma 153.33
loop_
_atom_site_label
_atom_site_fract_x
_atom_site_fract_y
_atom_site_fract_z
La1 0.1142 0.8858 0.5000
La2 0.1204 0.8796 0.1177
La3 0.8796 0.1204 0.6177
La4 0.8858 0.1142 0.0000
Cu1 0.4973 0.5027 0.7961
Cu2 0.5027 0.4973 0.2961
Sn1 0.1903 0.8097 0.8152
Sn2 0.8097 0.1903 0.3152
S1 0.0384 0.9616 0.8724
S2 0.2914 0.7086 0.4744
S3 0.2995 0.7005 0.1502
S4 0.3548 0.6452 0.8123
S5 0.4963 0.5037 0.1016
S6 0.5037 0.4963 0.6016
S7 0.6452 0.3548 0.3123
S8 0.7005 0.2995 0.6502
S9 0.7086 0.2914 0.9744
S10 0.9616 0.0384 0.3724
```


7.
Density functional theory data (PBE) for a relaxed LaCu2SnS4 crystal.

Calculated values
- Formation energy (no corrections): -0.78 eV/atom
- Symmetry: No. 139

The structure in CIF format:
```
data_LaCu2SnS4
_space_group_name_H-M_alt 'P 1'
_space_group_IT_number 1
_space_group_name_Hall 'P 1'
_cell_length_a 6.6660
_cell_length_b 6.6660
_cell_length_c 7.4596
_cell_angle_alpha 90.00
_cell_angle_beta 90.00
_cell_angle_gamma 90.00
loop_
_atom_site_label
_atom_site_fract_x
_atom_site_fract_y
_atom_site_fract_z
La1 0.0000 0.0000 0.0000
La2 0.5000 0.5000 0.5000
Cu1 0.0000 0.5000 0.2500
Cu2 0.0000 0.5000 0.7500
Cu3 0.5000 0.0000 0.2500
Cu4 0.5000 0.0000 0.7500
Sn1 0.0000 0.0000 0.5000
Sn2 0.5000 0.5000 0.0000
S1 0.2500 0.2500 0.2500
S2 0.2500 0.2500 0.7500
S3 0.2500 0.7500 0.2500
S4 0.2500 0.7500 0.7500
S5 0.7500 0.2500 0.2500
S6 0.7500 0.2500 0.7500
S7 0.7500 0.7500 0.2500
S8 0.7500 0.7500 0.7500
```


8.
Density functional theory data (PBE) for a relaxed La2TbCuS5 crystal.

Calculated values
- Formation energy (no corrections): -1.85 eV/atom
- Symmetry: No. 36

The structure in CIF format:
```
data_La2TbCuS5
_space_group_name_H-M_alt 'P 1'
_space_group_IT_number 1
_space_group_name_Hall 'P 1'
_cell_length_a 8.5404
_cell_length_b 8.5404
_cell_length_c 12.0689
_cell_angle_alpha 90.00
_cell_angle_beta 90.00
_cell_angle_gamma 153.07
loop_
_atom_site_label
_atom_site_fract_x
_atom_site_fract_y
_atom_site_fract_z
La1 0.1163 0.8837 0.5000
La2 0.1167 0.8833 0.8491
La3 0.8833 0.1167 0.3491
La4 0.8837 0.1163 0.0000
Tb1 0.1802 0.8198 0.1798
Tb2 0.8198 0.1802 0.6798
Cu1 0.4481 0.5519 0.5805
Cu2 0.5519 0.4481 0.0805
S1 0.0177 0.9823 0.1691
S2 0.3019 0.6981 0.8385
S3 0.3114 0.6886 0.5189
S4 0.3453 0.6547 0.1740
S5 0.4952 0.5048 0.9080
S6 0.5048 0.4952 0.4080
S7 0.6547 0.3453 0.6740
S8 0.6886 0.3114 0.0189
S9 0.6981 0.3019 0.3385
S10 0.9823 0.0177 0.6691
```